1.
A plane-wave DFT calculation with PBE was carried out for an optimized crystal structure of BaGaRe2Au.

Calculated values
For the calculated volume, the calculation gives 26.5 A^3/atom. The space group is P4/mmm, No. 123. The value obtained for the calculated formation energy is 1.57 eV/atom. As for the total magnetization: 5.558 μB per formula unit.

extended XYZ file:
```
5
Lattice="5.232 0.000 0.000 0.000 4.834 0.000 0.000 0.000 5.232" Properties=species:S:1:pos:R:3 pbc="T T T"
Re 0.000 0.000 2.616
Re 2.616 0.000 0.000
Au 0.000 0.000 0.000
Ba 2.616 2.417 2.616
Ga 0.000 2.417 0.000
```

***

2.
A plane-wave DFT calculation with PBE was carried out for an optimized crystal structure of La4RuI2Cl.

Calculated values
The formation energy (no corrections) is -8.303 eV per formula unit. For the calculated volume, the calculation gives 31.8 A^3/atom. The space group is P2/m, No. 10. As for the total magnetization: 0.000 μB per formula unit.

extended XYZ file:
```
8
Lattice="4.191 0.000 0.000 0.000 7.571 0.204 0.000 -2.590 7.957" Properties=species:S:1:pos:R:3 pbc="T T T"
La 2.095 1.358 1.629
La 2.095 3.624 6.532
La 0.000 0.119 6.486
La 0.000 4.863 1.675
Ru 2.095 3.786 0.102
I 2.095 -1.295 3.979
I 0.000 2.491 4.081
Cl 0.000 0.000 0.000
```

***

3.
A plane-wave DFT calculation with PBE was carried out for an optimized crystal structure of EuTm2Ru.

Calculated values
For the calculated volume, the calculation gives 27.1 A^3/atom. The space group is P4/mmm, No. 123. The value obtained for the calculated formation energy is -0.27 eV/atom. As for the total magnetization: 7.490 μB per formula unit.

extended XYZ file:
```
4
Lattice="-1.825 2.353 1.658 0.714 -1.531 2.959 7.628 5.287 0.894" Properties=species:S:1:pos:R:3 pbc="T T T"
Eu 3.259 3.054 2.755
Ru -0.555 0.411 2.308
Tm 6.312 4.375 0.740
Tm 1.316 0.912 0.154
```

***

4.
A plane-wave DFT calculation with PBE was carried out for an optimized crystal structure of Ac3SnPb3.

Calculated values
For the energy above the most stable polymorph in this dataset, the calculation gives 139 meV/atom. For the calculated volume, the calculation gives 38.9 A^3/atom. The space group is P6_3/m, No. 176. The value obtained for the calculated formation energy is -0.36 eV/atom. As for the total magnetization: 0.000 μB per formula unit.

extended XYZ file:
```
14
Lattice="6.556 0.000 0.000 0.000 9.793 0.000 0.000 -4.896 8.481" Properties=species:S:1:pos:R:3 pbc="T T T"
Ac 4.917 3.693 4.944
Ac 4.917 3.664 0.726
Ac 4.917 7.332 2.810
Ac 1.639 1.203 3.536
Ac 1.639 1.232 7.755
Ac 1.639 -2.435 5.671
Sn 1.639 4.896 2.827
Sn 4.917 0.000 5.654
Pb 1.639 4.015 5.779
Pb 1.639 2.781 0.588
Pb 1.639 7.893 2.114
Pb 4.917 0.881 2.702
Pb 4.917 2.116 7.893
Pb 4.917 -2.997 6.366
```

***

5.
A plane-wave DFT calculation with PBE was carried out for an optimized crystal structure of Al4GeIr.

Calculated values
For the calculated volume, the calculation gives 18.0 A^3/atom. The space group is Fddd, No. 70. The value obtained for the calculated formation energy is -0.46 eV/atom. As for the total magnetization: 0.000 μB per formula unit.

extended XYZ file:
```
12
Lattice="-0.157 0.832 -5.966 4.046 -4.411 -0.693 -6.359 -2.191 2.891" Properties=species:S:1:pos:R:3 pbc="T T T"
Al -5.590 -2.359 -3.234
Al -3.308 -5.177 -0.626
Al -1.196 -3.117 -0.261
Al -1.274 -2.654 -3.508
Al 0.837 -5.314 -0.606
Al 0.838 -0.593 -3.143
Al -3.306 -0.457 -3.162
Al 3.120 -3.411 -0.534
Ge 0.880 -2.993 -1.948
Ge -3.350 -2.777 -1.821
Ir -1.248 -5.399 0.816
Ir -1.221 -0.371 -4.584
```

***

6.
A plane-wave DFT calculation with PBE was carried out for an optimized crystal structure of LaPm5Sm2.

Calculated values
For the energy above the most stable polymorph in this dataset, the calculation gives 0 meV/atom. For the calculated volume, the calculation gives 34.6 A^3/atom. The space group is Pbam, No. 55. The value obtained for the calculated formation energy is 0.02 eV/atom. As for the total magnetization: 0.000 μB per formula unit.

extended XYZ file:
```
16
Lattice="5.170 0.000 0.000 0.000 7.320 0.000 0.000 0.000 14.650" Properties=species:S:1:pos:R:3 pbc="T T T"
La 0.000 0.000 7.325
La 0.000 3.660 0.000
Pm 0.000 0.000 0.000
Pm 0.000 3.660 7.325
Pm 0.000 3.646 10.965
Pm 0.000 3.674 3.684
Pm 0.000 0.014 3.641
Pm 0.000 7.306 11.009
Pm 2.585 1.820 12.807
Pm 2.585 5.500 1.842
Pm 2.585 1.840 5.483
Pm 2.585 5.480 9.167
Sm 2.585 1.822 9.167
Sm 2.585 5.498 5.483
Sm 2.585 1.838 1.842
Sm 2.585 5.482 12.808
```

***

7.
A plane-wave DFT calculation with PBE was carried out for an optimized crystal structure of Li3CaMg.

Calculated values
For the energy above the most stable polymorph in this dataset, the calculation gives 229 meV/atom. For the calculated volume, the calculation gives 28.0 A^3/atom. The space group is Pm-3m, No. 221. The value obtained for the calculated formation energy is 0.23 eV/atom. As for the total magnetization: 0.000 μB per formula unit.

extended XYZ file:
```
5
Lattice="5.192 0.000 0.000 0.000 5.192 0.000 0.000 0.000 5.192" Properties=species:S:1:pos:R:3 pbc="T T T"
Ca 2.596 2.596 2.596
Mg 0.000 0.000 0.000
Li 0.000 2.596 0.000
Li 0.000 0.000 2.596
Li 2.596 0.000 0.000
```

***

8.
A plane-wave DFT calculation with PBE was carried out for an optimized crystal structure of PrAl6Ni2.

Calculated values
For the calculated volume, the calculation gives 20.2 A^3/atom. The space group is P6/mmm, No. 191. The value obtained for the calculated formation energy is -0.15 eV/atom. As for the total magnetization: 0.000 μB per formula unit.

extended XYZ file:
```
9
Lattice="-2.888 -3.342 3.969 1.940 -2.417 -5.066 5.177 -1.353 2.628" Properties=species:S:1:pos:R:3 pbc="T T T"
Pr 0.000 0.000 0.000
Al -0.297 -1.971 2.567
Al 0.673 -3.179 0.034
Al 2.117 -1.509 -1.951
Al 3.555 -3.933 1.497
Al 4.999 -2.261 -0.487
Al 2.585 -2.724 4.030
Ni 2.919 -3.402 -0.740
Ni 1.309 -3.710 2.272
```

***

9.
A plane-wave DFT calculation with PBE was carried out for an optimized crystal structure of Hf2SnS2.

Calculated values
The formation energy (no corrections) is -4.171 eV per formula unit. For the calculated volume, the calculation gives 19.0 A^3/atom. The space group is P4/mbm, No. 127. As for the total magnetization: 0.000 μB per formula unit.

extended XYZ file:
```
10
Lattice="7.634 0.000 0.000 0.000 7.634 0.000 0.000 0.000 3.267" Properties=species:S:1:pos:R:3 pbc="T T T"
S 1.003 4.820 1.633
S 4.820 6.632 1.633
S 6.632 2.814 1.633
S 2.814 1.003 1.633
Hf 2.695 6.512 0.000
Hf 6.512 4.940 0.000
Hf 4.940 1.123 0.000
Hf 1.123 2.695 0.000
Sn 0.000 0.000 0.000
Sn 3.817 3.817 0.000
```

***

10.
A plane-wave DFT calculation with PBE was carried out for an optimized crystal structure of V2OsN.

Calculated values
The formation energy (no corrections) is -0.944 eV per formula unit. For the calculated volume, the calculation gives 11.2 A^3/atom. The space group is P4/mmm, No. 123. As for the total magnetization: 0.000 μB per formula unit.

extended XYZ file:
```
4
Lattice="2.631 0.000 0.000 0.000 2.631 0.000 0.000 0.000 6.465" Properties=species:S:1:pos:R:3 pbc="T T T"
N 1.315 1.315 0.000
Os 1.315 1.315 3.233
V 0.000 0.000 5.254
V 0.000 0.000 1.212
```

***

11.
A plane-wave DFT calculation with PBE was carried out for an optimized crystal structure of CaMoW2.

Calculated values
For the energy above the most stable polymorph in this dataset, the calculation gives 205 meV/atom. For the calculated volume, the calculation gives 18.2 A^3/atom. The space group is Immm, No. 71. The value obtained for the calculated formation energy is 0.72 eV/atom. As for the total magnetization: 0.000 μB per formula unit.

extended XYZ file:
```
4
Lattice="-0.923 0.036 5.512 1.529 -4.498 2.944 1.578 4.212 -3.317" Properties=species:S:1:pos:R:3 pbc="T T T"
Mo 0.479 1.009 3.211
Ca 1.705 -1.258 1.927
W 0.593 -4.366 8.276
W 0.316 -2.326 4.408
```

***

12.
A plane-wave DFT calculation with PBE was carried out for an optimized crystal structure of RbB3As.

Calculated values
For the energy above the most stable polymorph in this dataset, the calculation gives 0 meV/atom. For the calculated volume, the calculation gives 17.6 A^3/atom. The space group is Pm-3m, No. 221. The value obtained for the calculated formation energy is 1.86 eV/atom. As for the total magnetization: 0.000 μB per formula unit.

extended XYZ file:
```
5
Lattice="4.445 0.000 0.000 0.000 4.445 0.000 0.000 0.000 4.445" Properties=species:S:1:pos:R:3 pbc="T T T"
As 0.000 0.000 0.000
B 0.000 2.222 0.000
B 0.000 0.000 2.222
B 2.222 0.000 0.000
Rb 2.222 2.222 2.222
```

***

13.
A plane-wave DFT calculation with PBE was carried out for an optimized crystal structure of CsBeTl2Ag.

Calculated values
For the calculated volume, the calculation gives 60.8 A^3/atom. The space group is P4/mmm, No. 123. The value obtained for the calculated formation energy is 1.45 eV/atom. As for the total magnetization: 0.001 μB per formula unit.

extended XYZ file:
```
5
Lattice="6.937 0.000 0.000 0.000 6.321 0.000 0.000 0.000 6.937" Properties=species:S:1:pos:R:3 pbc="T T T"
Cs 0.000 0.000 0.000
Be 3.469 3.160 3.469
Tl 0.000 0.000 3.469
Tl 3.469 0.000 0.000
Ag 0.000 3.160 0.000
```

***

14.
A plane-wave DFT calculation with PBE was carried out for an optimized crystal structure of YHo4TmSc2.

Calculated values
For the calculated volume, the calculation gives 30.7 A^3/atom. The space group is Imma, No. 74. The value obtained for the calculated formation energy is 0.45 eV/atom. As for the total magnetization: 3.500 μB per formula unit.

extended XYZ file:
```
16
Lattice="9.102 -0.042 -1.660 -0.049 9.102 -1.660 -5.761 -5.765 8.040" Properties=species:S:1:pos:R:3 pbc="T T T"
Y -0.024 4.551 -0.830
Y 6.197 1.626 1.530
Ho 2.339 6.769 -1.624
Ho 3.981 -0.739 2.324
Ho -0.689 4.033 2.396
Ho 0.953 -3.475 6.345
Ho 6.634 6.836 -2.415
Ho 3.868 4.068 1.456
Ho -0.576 -0.774 3.265
Ho -3.342 -3.542 7.136
Tm 1.646 1.647 2.360
Tm 3.341 -5.808 6.381
Sc 4.551 -0.021 -0.830
Sc 1.671 -2.904 3.190
Sc -2.881 -2.883 4.020
Sc 4.527 4.530 -1.660
```

***

15.
A plane-wave DFT calculation with PBE was carried out for an optimized crystal structure of Pm7Dy2Sc2.

Calculated values
For the energy above the most stable polymorph in this dataset, the calculation gives 3 meV/atom. For the calculated volume, the calculation gives 32.9 A^3/atom. The space group is Imm2, No. 44. The value obtained for the calculated formation energy is 0.15 eV/atom. As for the total magnetization: 0.000 μB per formula unit.

extended XYZ file:
```
11
Lattice="3.576 0.000 0.000 1.788 10.471 -0.475 1.788 4.547 9.445" Properties=species:S:1:pos:R:3 pbc="T T T"
Pm 5.364 11.492 1.961
Pm 5.364 9.392 7.819
Pm 3.576 5.006 8.676
Pm 3.576 5.661 2.133
Pm 3.576 10.456 4.997
Pm 1.788 7.844 -0.218
Pm 1.788 3.681 4.408
Dy 1.788 8.316 3.135
Dy 3.576 6.805 5.664
Sc 5.364 12.781 6.467
Sc 1.788 3.265 0.784
```

***

16.
A plane-wave DFT calculation with PBE was carried out for an optimized crystal structure of Th8CoTe4As3.

Calculated values
The formation energy (no corrections) is -18.052 eV per formula unit. For the calculated volume, the calculation gives 29.3 A^3/atom. The space group is R-3m, No. 166. As for the total magnetization: 0.000 μB per formula unit.

extended XYZ file:
```
16
Lattice="8.599 0.000 0.000 0.000 8.848 0.170 -4.300 -4.296 6.083" Properties=species:S:1:pos:R:3 pbc="T T T"
Th -2.280 2.055 6.102
Th 0.000 4.333 2.876
Th 0.000 0.249 3.215
Th 2.280 2.055 6.102
Th 2.019 2.498 0.152
Th 4.300 4.304 3.039
Th 4.300 0.219 3.378
Th 6.580 2.498 0.152
Co 0.000 4.424 0.085
Te 4.300 0.000 0.000
Te 2.150 -2.148 3.042
Te 0.000 0.000 0.000
Te -2.150 -2.148 3.042
As 4.300 4.424 0.085
As 2.150 2.276 3.127
As -2.150 2.276 3.127
```

***

17.
A plane-wave DFT calculation with PBE was carried out for an optimized crystal structure of Er4SiSbTe2.

Calculated values
The formation energy (no corrections) is -9.264 eV per formula unit. For the calculated volume, the calculation gives 27.9 A^3/atom. The space group is P2/m, No. 10. As for the total magnetization: 0.000 μB per formula unit.

extended XYZ file:
```
8
Lattice="-2.515 -3.412 0.433 2.974 -2.969 -6.128 3.959 -2.166 5.941" Properties=species:S:1:pos:R:3 pbc="T T T"
Er 0.418 -2.970 -0.013
Er 3.999 -5.577 0.259
Er 3.892 -2.495 2.951
Er 3.041 -2.640 -3.138
Si 0.229 -3.191 -2.848
Sb 0.000 0.000 0.000
Te 0.722 -2.789 3.187
Te 3.466 -2.568 -0.094
```

***

18.
A plane-wave DFT calculation with PBE was carried out for an optimized crystal structure of Dy3Th5Sc4.

Calculated values
For the energy above the most stable polymorph in this dataset, the calculation gives 163 meV/atom. For the calculated volume, the calculation gives 31.0 A^3/atom. The space group is C2/m, No. 12. The value obtained for the calculated formation energy is 0.33 eV/atom. As for the total magnetization: 0.003 μB per formula unit.

extended XYZ file:
```
12
Lattice="5.718 0.000 0.000 2.859 4.674 -0.878 2.859 2.524 13.428" Properties=species:S:1:pos:R:3 pbc="T T T"
Dy 5.718 3.798 2.885
Dy 2.859 3.599 6.275
Dy 5.718 3.400 9.664
Th 2.859 1.603 -0.260
Th 5.718 3.599 6.275
Th 5.718 6.843 10.829
Th 5.718 0.355 1.721
Th 8.577 5.595 12.810
Sc 8.577 4.884 9.404
Sc 2.859 1.635 8.685
Sc 8.577 5.563 3.864
Sc 2.859 2.314 3.146
```

***

19.
A plane-wave DFT calculation with PBE was carried out for an optimized crystal structure of Cr2SiHRh.

Calculated values
For the energy above the most stable polymorph in this dataset, the calculation gives 0 meV/atom. For the calculated volume, the calculation gives 10.4 A^3/atom. The space group is P4/mmm, No. 123. As for the total magnetization: 0.613 μB per formula unit.

extended XYZ file:
```
5
Lattice="3.541 0.000 0.000 0.000 3.541 0.000 0.000 0.000 4.156" Properties=species:S:1:pos:R:3 pbc="T T T"
Cr 0.000 1.771 0.000
Cr 1.771 0.000 0.000
Si 1.771 1.771 2.078
Rh 0.000 0.000 2.078
H 0.000 0.000 0.000
```

***

20.
A plane-wave DFT calculation with PBE was carried out for an optimized crystal structure of KGa2F.

Calculated values
For the energy above the most stable polymorph in this dataset, the calculation gives 837 meV/atom. The formation energy (no corrections) is -0.827 eV per formula unit. For the calculated volume, the calculation gives 25.1 A^3/atom. The space group is Fm-3m, No. 225. As for the total magnetization: 0.000 μB per formula unit.

extended XYZ file:
```
4
Lattice="-2.866 1.503 4.090 -5.173 -0.658 -0.058 -2.208 -3.573 3.091" Properties=species:S:1:pos:R:3 pbc="T T T"
K -5.123 -1.364 3.562
Ga -2.562 -0.682 1.781
Ga -7.685 -2.047 5.342
F 0.000 0.000 0.000
```